Crystalline MgB3Pt9 at its relaxed geometry. Source: Alexandria via LeMat-Bulk, functional GGA-PBE. Values from VASP.

Results
Final energy = -6.037 eV per atom
Energy of formation = -0.191 eV per atom

Structure (Quantum ESPRESSO input):
```
&SYSTEM
  ibrav = 0, nat = 13, ntyp = 3
/
ATOMIC_SPECIES
Mg 24.30 Mg.upf
B 10.81 B.upf
Pt 195.08 Pt.upf
ATOMIC_POSITIONS angstrom
Mg 0.000 0.000 0.000
B 4.287 1.347 0.784
B 7.349 0.000 1.662
B 4.287 -1.347 0.784
Pt 5.888 1.396 2.231
Pt 1.769 0.000 4.409
Pt 8.732 1.447 2.344
Pt 11.382 1.373 2.391
Pt 7.242 0.000 4.320
Pt 5.888 -1.396 2.231
Pt 8.732 -1.447 2.344
Pt 12.578 0.000 4.317
Pt 11.382 -1.373 2.391
CELL_PARAMETERS angstrom
8.310 -2.804 0.000
8.310 2.804 0.000
-1.156 0.000 4.419
```

Crystalline La4Cd2N at its relaxed geometry. Source: Alexandria via LeMat-Bulk, functional GGA-PBE. Values from VASP.

Results
Energy relative to the elements, uncorrected = -3.8 eV/f.u.
Energy above the lowest structure with this stoichiometry = 0 meV/atom
Final energy = -4.808 eV per atom

Structure (Quantum ESPRESSO input):
```
&SYSTEM
  ibrav = 0, nat = 7, ntyp = 3
/
ATOMIC_SPECIES
La 138.91 La.upf
Cd 112.41 Cd.upf
N 14.01 N.upf
ATOMIC_POSITIONS angstrom
La 2.602 0.000 0.000
La 0.000 0.000 2.515
La 0.000 2.602 0.000
La 0.000 0.000 13.026
Cd 0.000 0.000 5.738
Cd 0.000 0.000 9.802
N 0.000 0.000 0.000
CELL_PARAMETERS angstrom
-2.602 2.602 7.770
2.602 -2.602 7.770
2.602 2.602 -7.770
```

Crystalline PaZn3N4 at its relaxed geometry. Source: Alexandria via LeMat-Bulk, functional GGA-PBE. Values from VASP.

Results
Energy relative to the elements, uncorrected = -2.9 eV/f.u.
Final energy = -6.189 eV per atom

Structure (Quantum ESPRESSO input):
```
&SYSTEM
  ibrav = 0, nat = 8, ntyp = 3
/
ATOMIC_SPECIES
Pa 231.04 Pa.upf
Zn 65.41 Zn.upf
N 14.01 N.upf
ATOMIC_POSITIONS angstrom
Pa 0.000 0.000 0.000
Zn 2.950 0.000 3.172
Zn 5.134 1.537 1.767
Zn 5.134 -1.537 1.767
N 1.439 0.000 1.823
N 3.997 1.632 3.499
N 3.997 -1.632 3.499
N 6.403 0.000 1.737
CELL_PARAMETERS angstrom
3.961 -3.821 0.000
3.961 3.821 0.000
-0.229 0.000 3.568
```

Crystalline Fe4NiPt5 at its relaxed geometry. Source: Alexandria via LeMat-Bulk, functional GGA-PBE. Values from VASP.

Results
Final energy = -7.206 eV per atom
Energy of formation = -0.223 eV per atom

Structure (Quantum ESPRESSO input):
```
&SYSTEM
  ibrav = 0, nat = 10, ntyp = 3
/
ATOMIC_SPECIES
Fe 55.84 Fe.upf
Ni 58.69 Ni.upf
Pt 195.08 Pt.upf
ATOMIC_POSITIONS angstrom
Fe 0.000 0.000 1.894
Fe 0.000 0.000 5.681
Fe 0.000 0.000 13.125
Fe 0.000 0.000 16.912
Ni 0.000 0.000 9.403
Pt 1.361 1.361 0.000
Pt 1.361 1.361 3.787
Pt 1.361 1.361 7.547
Pt 1.361 1.361 11.259
Pt 1.361 1.361 15.019
CELL_PARAMETERS angstrom
2.722 0.000 0.000
0.000 2.722 0.000
0.000 0.000 18.806
```

Crystalline Ac2ZnH at its relaxed geometry. Source: Alexandria via LeMat-Bulk, functional GGA-PBE. Values from VASP.

Results
Energy above the lowest structure with this stoichiometry = 0 meV/atom
Final energy = -3.227 eV per atom

Structure (Quantum ESPRESSO input):
```
&SYSTEM
  ibrav = 0, nat = 4, ntyp = 3
/
ATOMIC_SPECIES
Ac 227.00 Ac.upf
Zn 65.41 Zn.upf
H 1.01 H.upf
ATOMIC_POSITIONS angstrom
Ac 0.000 0.000 1.851
Ac 0.000 0.000 5.807
Zn 1.852 1.852 3.829
H 1.852 1.852 0.000
CELL_PARAMETERS angstrom
3.704 0.000 0.000
0.000 3.704 0.000
0.000 0.000 7.658
```

Crystalline Ce2MnGe6Os at its relaxed geometry. Source: Alexandria via LeMat-Bulk, functional GGA-PBE. Values from VASP.

Results
Final energy = -6.320 eV per atom
Energy of formation = -0.323 eV per atom

Structure (Quantum ESPRESSO input):
```
&SYSTEM
  ibrav = 0, nat = 20, ntyp = 4
/
ATOMIC_SPECIES
Ce 140.12 Ce.upf
Mn 54.94 Mn.upf
Ge 72.64 Ge.upf
Os 190.23 Os.upf
ATOMIC_POSITIONS angstrom
Ce 0.000 0.000 4.020
Ce 0.000 0.000 10.944
Ce 0.000 0.000 25.806
Ce 0.000 0.000 32.730
Mn 0.000 0.000 0.000
Mn 0.000 0.000 18.375
Ge -1.808 -1.044 17.060
Ge 0.000 -1.557 13.729
Ge -1.348 0.779 13.729
Ge -1.348 -0.779 23.021
Ge 0.000 -2.088 19.690
Ge -1.808 1.044 19.690
Ge 1.808 -1.044 17.060
Ge 0.000 2.088 17.060
Ge 1.348 0.779 13.729
Ge 1.348 -0.779 23.021
Ge 0.000 1.557 23.021
Ge 1.808 1.044 19.690
Os 0.000 0.000 15.743
Os 0.000 0.000 21.006
CELL_PARAMETERS angstrom
3.066 1.770 12.250
-3.066 1.770 12.250
0.000 -3.540 12.250
```

Crystalline YSi2Ir at its relaxed geometry. Source: Alexandria via LeMat-Bulk, functional GGA-PBE. Values from VASP.

Results
Energy relative to the elements, uncorrected = -2.8 eV/f.u.
Final energy = -7.251 eV per atom

Structure (Quantum ESPRESSO input):
```
&SYSTEM
  ibrav = 0, nat = 4, ntyp = 3
/
ATOMIC_SPECIES
Y 88.91 Y.upf
Si 28.09 Si.upf
Ir 192.22 Ir.upf
ATOMIC_POSITIONS angstrom
Y 0.000 0.000 0.000
Si 1.981 2.074 1.159
Si 1.981 2.074 3.618
Ir 1.981 0.000 2.388
CELL_PARAMETERS angstrom
3.961 0.000 0.000
0.000 4.148 0.000
0.000 0.000 4.777
```

Crystalline PmHo2Tm3S6 at its relaxed geometry. Source: Alexandria via LeMat-Bulk, functional GGA-PBE. Values from VASP.

Results
Energy relative to the elements, uncorrected = -23.5 eV/f.u.
Final energy = -6.302 eV per atom

Structure (Quantum ESPRESSO input):
```
&SYSTEM
  ibrav = 0, nat = 12, ntyp = 4
/
ATOMIC_SPECIES
Pm 145.00 Pm.upf
Ho 164.93 Ho.upf
Tm 168.93 Tm.upf
S 32.06 S.upf
ATOMIC_POSITIONS angstrom
Pm 0.000 0.000 0.000
Ho 4.429 0.000 5.087
Ho 10.667 0.000 2.514
Tm -0.926 0.000 3.801
Tm 5.380 0.000 1.262
Tm 9.717 0.000 6.339
S 1.733 0.000 4.452
S 2.757 0.000 0.632
S 7.983 0.000 1.994
S 7.113 0.000 5.607
S 12.339 0.000 6.970
S 13.363 0.000 3.149
CELL_PARAMETERS angstrom
8.475 -1.936 0.000
8.475 1.936 0.000
-1.853 0.000 7.602
```

Crystalline In8Ga3 at its relaxed geometry. Source: Alexandria via LeMat-Bulk, functional GGA-PBE. Values from VASP.

Results
Final energy = -2.783 eV per atom
Energy of formation = 0.034 eV per atom

Structure (Quantum ESPRESSO input):
```
&SYSTEM
  ibrav = 0, nat = 11, ntyp = 2
/
ATOMIC_SPECIES
In 114.82 In.upf
Ga 69.72 Ga.upf
ATOMIC_POSITIONS angstrom
In 0.477 0.000 2.962
In 1.463 0.000 8.859
In 2.775 0.000 5.555
In 3.861 0.000 2.150
In 7.401 0.000 6.958
In 8.488 0.000 3.553
In 9.800 0.000 0.249
In 10.785 0.000 6.146
Ga 4.610 0.000 8.000
Ga 5.631 0.000 4.554
Ga 6.652 0.000 1.108
CELL_PARAMETERS angstrom
5.731 -2.652 0.000
5.731 2.652 0.000
-0.200 0.000 9.108
```

Crystalline SbTe2C at its relaxed geometry. Source: Alexandria via LeMat-Bulk, functional GGA-PBE. Values from VASP.

Results
Energy relative to the elements, uncorrected = 4.1 eV/f.u.
Energy above the lowest structure with this stoichiometry = 0 meV/atom
Final energy = -3.886 eV per atom

Structure (Quantum ESPRESSO input):
```
&SYSTEM
  ibrav = 0, nat = 8, ntyp = 3
/
ATOMIC_SPECIES
Sb 121.76 Sb.upf
Te 127.60 Te.upf
C 12.01 C.upf
ATOMIC_POSITIONS angstrom
Sb 0.000 0.000 0.000
Sb 0.000 3.465 2.162
Te 1.732 -1.127 3.243
Te 2.337 1.732 1.081
Te 1.732 4.592 -1.081
Te 1.127 1.732 5.404
C 3.465 0.000 2.162
C 0.000 0.000 4.323
CELL_PARAMETERS angstrom
-3.465 3.465 4.323
3.465 -3.465 4.323
3.465 3.465 -4.323
```

no.,magnetic moment (μB/cell),calculated density (g cm⁻³)
1,0.000,14.61
2,0.000,6.27
3,0.002,7.43
4,13.921,14.98
5,0.000,8.23
6,8.270,8.00
7,0.000,7.14
8,0.000,7.82
9,0.000,6.76
10,0.000,6.22